# 1
VASP calculation (PBE-GGA) on an optimized crystal structure of Ba6Bi2Br3Cl.

Geometry as extended XYZ:
```
12
Lattice="10.615 -2.503 0.000 10.615 2.503 0.000 -2.182 0.000 9.387" Properties=species:S:1:pos:R:3 pbc="T T T"
Ba -0.508 0.000 2.408
Ba 5.015 0.000 8.658
Ba 6.283 0.000 3.934
Ba 12.766 0.000 5.453
Ba 14.034 0.000 0.729
Ba 19.557 0.000 6.980
Bi 1.620 0.000 7.728
Bi 17.429 0.000 1.659
Br 2.899 0.000 3.159
Br 10.615 0.000 0.000
Br 16.150 0.000 6.228
Cl 9.525 0.000 4.694
```

Computed properties:
Energy relative to the elements, uncorrected ... -1500 meV/atom

# 2
VASP calculation (PBE-GGA) on an optimized crystal structure of BeTlNi2.

Geometry as extended XYZ:
```
4
Lattice="0.000 2.973 2.973 2.973 0.000 2.973 2.973 2.973 0.000" Properties=species:S:1:pos:R:3 pbc="T T T"
Be 0.000 0.000 0.000
Tl 4.459 4.459 4.459
Ni 1.486 1.486 1.486
Ni 2.973 2.973 2.973
```

Computed properties:
Energy relative to the lowest polymorph listed for this composition ... 0.193 eV per atom

# 3
VASP calculation (PBE-GGA) on an optimized crystal structure of YPuNb.

Geometry as extended XYZ:
```
6
Lattice="2.505 -5.669 0.000 2.505 5.669 0.000 0.000 0.000 5.155" Properties=species:S:1:pos:R:3 pbc="T T T"
Y 2.505 2.949 3.866
Y 2.505 -2.949 1.289
Pu 2.505 0.515 1.289
Pu 2.505 -0.515 3.866
Nb 2.505 4.992 1.289
Nb 2.505 -4.992 3.866
```

# 4
VASP calculation (PBE-GGA) on an optimized crystal structure of CeCd2Au9.

Geometry as extended XYZ:
```
12
Lattice="2.815 1.626 9.125 -2.815 1.626 9.125 0.000 -3.251 9.125" Properties=species:S:1:pos:R:3 pbc="T T T"
Ce 0.000 0.000 0.000
Cd 0.000 0.000 3.926
Cd 0.000 0.000 23.448
Au -1.426 -0.824 11.468
Au 0.000 0.000 9.120
Au 0.000 -1.647 15.907
Au -1.426 0.824 15.907
Au 0.000 0.000 13.687
Au 1.426 -0.824 11.468
Au 0.000 1.647 11.468
Au 0.000 0.000 18.254
Au 1.426 0.824 15.907
```

# 5
VASP calculation (PBE-GGA) on an optimized crystal structure of TmBe9Rh2.

Geometry as extended XYZ:
```
12
Lattice="2.228 1.286 7.097 -2.228 1.286 7.097 0.000 -2.572 7.097" Properties=species:S:1:pos:R:3 pbc="T T T"
Tm 0.000 0.000 0.000
Be -1.132 -0.653 8.978
Be 0.000 0.000 7.067
Be 0.000 -1.307 12.314
Be -1.132 0.653 12.314
Be 0.000 0.000 10.646
Be 1.132 -0.653 8.978
Be 0.000 1.307 8.978
Be 0.000 0.000 14.224
Be 1.132 0.653 12.314
Rh 0.000 0.000 2.972
Rh 0.000 0.000 18.320
```

# 6
VASP calculation (PBE-GGA) on an optimized crystal structure of DyY2ZrN4.

Geometry as extended XYZ:
```
8
Lattice="5.909 0.000 0.000 0.000 3.407 0.000 -1.949 0.000 5.578" Properties=species:S:1:pos:R:3 pbc="T T T"
Dy 0.000 0.000 0.000
Y 1.980 0.000 2.789
Y 2.954 1.703 0.000
Zr -0.975 1.703 2.789
N -0.039 0.000 4.111
N 0.924 1.703 1.437
N 3.036 1.703 4.141
N 3.999 0.000 1.467
```

Computed properties:
Energy relative to the elements, uncorrected ... -1719 meV/atom

What final energy values result from the calculations? In sequence: -0.27052 -0.30330 -0.73904 -0.24416 -0.34968 -0.67190 Ry/atom.